A geometry-optimized PuMgBeGa structure. Source: Alexandria, functional PBE.

a = 4.7293 Å, b = 4.7293 Å, c = 4.7293 Å
α = 60.00°, β = 60.00°, γ = 60.00°
With the nearest neighbours (Å) after each atom.
Atoms (fractional coordinates):
Pu  0.5000  0.5000  0.5000  4 Ga 2.90, 4 Be 2.90
Mg  0.0000  0.0000  0.0000  4 Be 2.90, 4 Ga 2.90
Be  0.2500  0.2500  0.2500  4 Pu 2.90, 4 Mg 2.90
Ga  0.7500  0.7500  0.7500  4 Mg 2.90, 4 Pu 2.90

Values from the calculation:
**DFT formation energy**: -4.0 meV per atom


A geometry-optimized LiMgZn4 structure. Source: Alexandria, functional PBE.

a = 5.1659 Å, b = 5.1659 Å, c = 5.1659 Å
α = 60.00°, β = 60.00°, γ = 60.00°
With the nearest neighbours (Å) after each atom.
Atoms (fractional coordinates):
Li  0.2500  0.2500  0.2500  12 Zn 3.03, 4 Mg 3.16
Zn  0.6248  0.6248  0.1257  6 Zn 2.58-2.59
Zn  0.6248  0.6248  0.6248  6 Zn 2.58-2.59
Zn  0.1257  0.6248  0.6248  6 Zn 2.58-2.59
Zn  0.6248  0.1257  0.6248  6 Zn 2.58-2.59
Mg  0.0000  0.0000  0.0000  12 Zn 3.03, 4 Li 3.16

Values from the calculation:
**DFT formation energy**: -158.8 meV per atom


A geometry-optimized NiMo2WSe structure. Source: Alexandria, functional PBE.

a = 4.6179 Å, b = 4.1297 Å, c = 4.6179 Å
α = 90.00°, β = 90.00°, γ = 90.00°
With the nearest neighbours (Å) after each atom.
Atoms (fractional coordinates):
Mo  0.5000  0.0000  0.0000  2 Se 2.31
Mo  0.0000  0.0000  0.5000  2 Se 2.31
Ni  0.0000  0.5000  0.0000  2 Se 2.06
Se  0.0000  0.0000  0.0000  2 Ni 2.06, 4 Mo 2.31
W  0.5000  0.5000  0.5000  8 Mo 3.10, 4 Ni 3.27

Values from the calculation:
**Formation energy without anion corrections**: 1.226 eV/atom


A geometry-optimized LaTbTh2Bi5 structure. Source: Alexandria, functional PBE.

a = 5.4340 Å, b = 5.4340 Å, c = 11.9864 Å
α = 90.00°, β = 90.00°, γ = 90.00°
With the nearest neighbours (Å) after each atom.
Atoms (fractional coordinates):
Bi  0.0000  0.0000  0.7478  1 Tb 2.97, 1 La 3.02
Bi  0.0000  0.5000  0.5000  2 Tb 2.72
Bi  0.0000  0.0000  0.2522  1 Tb 2.97, 1 La 3.02
Bi  0.5000  0.0000  0.5000  2 Tb 2.72
Bi  0.5000  0.5000  0.0000  2 Th 3.63, 4 La 3.84
La  0.0000  0.0000  0.0000  2 Bi 3.02
Tb  0.0000  0.0000  0.5000  6 Bi 2.72-2.97
Th  0.5000  0.5000  0.6973  9 Bi 3.60-3.89
Th  0.5000  0.5000  0.3027  9 Bi 3.60-3.89

Values from the calculation:
**DFT formation energy**: -5.3 meV per atom


A geometry-optimized Be8Nb3Os structure. Source: Alexandria, functional PBE.

a = 4.5300 Å, b = 4.5300 Å, c = 7.4530 Å
α = 90.00°, β = 90.00°, γ = 120.00°
With the nearest neighbours (Å) after each atom.
Atoms (fractional coordinates):
Nb  0.0000  0.0000  0.9288  12 Be 2.64-2.74, 1 Os 2.71, 3 Nb 2.81
Nb  0.6667  0.3333  0.0678  12 Be 2.66-2.72, 4 Nb 2.79-2.81
Nb  0.6667  0.3333  0.4422  12 Be 2.61-2.67, 3 Os 2.77, 1 Nb 2.79
Be  0.3333  0.6667  0.9980  6 Be 2.30-2.33
Be  0.3333  0.6667  0.4993  6 Be 2.26-2.27
Be  0.9953  0.4976  0.7461  6 Be 2.23-2.30
Be  0.1636  0.8364  0.2537  6 Be 2.22-2.33
Be  0.6729  0.8364  0.2537  6 Be 2.22-2.33
Be  0.1636  0.3271  0.2537  6 Be 2.22-2.33
Be  0.5024  0.4976  0.7461  6 Be 2.23-2.30
Be  0.5024  0.0047  0.7461  6 Be 2.23-2.30
Os  0.0000  0.0000  0.5645  12 Be 2.64-2.66, 4 Nb 2.71-2.77

Values from the calculation:
**DFT formation energy**: -331.1 meV per atom


A geometry-optimized PmPaPSe structure. Source: Alexandria, functional PBE.

a = 4.9861 Å, b = 4.9861 Å, c = 4.9861 Å
α = 60.00°, β = 60.00°, γ = 60.00°
With the nearest neighbours (Å) after each atom.
Atoms (fractional coordinates):
Se  0.2500  0.2500  0.2500  4 Pa 3.05, 4 Pm 3.05
Pa  0.0000  0.0000  0.0000  4 Se 3.05, 4 P 3.05
Pm  0.5000  0.5000  0.5000  4 Se 3.05, 4 P 3.05
P  0.7500  0.7500  0.7500  4 Pa 3.05, 4 Pm 3.05

Values from the calculation:
**Distance to the lowest polymorph of the same formula**: 118 kJ/mol of formula units
**Formation energy without anion corrections**: -1.136 eV/atom


| no. | volume (Å³/atom) | theoretical density (Mg/m³) | magnetic moment (μB/f.u.) |
| --- | --- | --- | --- |
| 1 | 18.699 | 7.70 | 5.33 |
| 2 | 16.247 | 4.99 | 0.00 |
| 3 | 17.613 | 9.68 | 0.22 |
| 4 | 39.327 | 8.48 | 0.00 |
| 5 | 11.038 | 6.78 | 0.00 |
| 6 | 21.914 | 9.21 | 1.44 |